Compound: TiZnBi2O6
Source: Alexandria
Functional: PBE
Structure: relaxed

```
TiZnBi2O6
1.0
7.2270 0.0000 0.0000
0.0000 3.0744 3.5261
0.0000 -3.0744 3.5261
Ti Zn Bi O
1 1 2 6
Direct
0.0000 0.0000 0.0000 Ti
0.5000 0.0010 0.0010 Zn
0.2624 0.5811 0.5811 Bi
0.7376 0.5811 0.5811 Bi
0.0000 0.3882 0.9085 O
0.0000 0.9085 0.3882 O
0.2389 0.8876 0.8876 O
0.5000 0.4149 0.8620 O
0.5000 0.8620 0.4149 O
0.7611 0.8876 0.8876 O
```

Results
Formation energy without anion corrections   -1.778 eV per atom
Crystal system   orthorhombic
Space-group type   Amm2 (38)
E above lowest polymorph   0.13 eV per formula unit

---

Compound: LiSiTe2
Source: Alexandria
Functional: PBE
Structure: relaxed

```
LiSiTe2
1.0
3.4637 0.0000 0.0000
0.0000 3.4637 0.0000
0.0000 0.0000 8.6568
Li Si Te
1 1 2
Direct
0.0000 0.0000 0.0000 Li
0.5000 0.5000 0.2454 Si
0.0000 0.0000 0.3928 Te
0.5000 0.5000 0.7933 Te
```

Results
Formation energy without anion corrections   -0.003 eV per atom
Crystal system   tetragonal
Space-group type   P4mm (99)
E above lowest polymorph   1.18 eV per formula unit

---

Compound: Sc4GePbN
Source: Alexandria
Functional: PBE
Structure: relaxed

```
Sc4GePbN
1.0
3.0738 -7.3617 0.0000
3.0738 7.3617 0.0000
0.0000 0.0000 6.1551
Sc Ge Pb N
8 2 2 2
Direct
0.0000 0.5000 0.0000 Sc
0.0000 0.5000 0.5000 Sc
0.0884 0.9116 0.7500 Sc
0.4016 0.5984 0.7500 Sc
0.5000 0.0000 0.0000 Sc
0.5000 0.0000 0.5000 Sc
0.5984 0.4016 0.2500 Sc
0.9116 0.0884 0.2500 Sc
0.1116 0.8884 0.2500 Ge
0.8884 0.1116 0.7500 Ge
0.3995 0.6005 0.2500 Pb
0.6005 0.3995 0.7500 Pb
0.2472 0.7528 0.7500 N
0.7528 0.2472 0.2500 N
```

Results
Formation energy without anion corrections   -0.970 eV per atom
Crystal system   orthorhombic
Space-group type   Cmcm (63)

---

Compound: ZnCdIn2Au
Source: Alexandria
Functional: PBE
Structure: relaxed

```
ZnCdIn2Au
1.0
5.5462 0.0000 0.0000
0.0000 5.5462 0.0000
0.0000 0.0000 5.2672
Zn Cd In Au
1 1 2 1
Direct
0.0000 0.0000 0.0000 Zn
0.5000 0.5000 0.5000 Cd
0.0000 0.5000 0.5000 In
0.5000 0.0000 0.5000 In
0.5000 0.5000 0.0000 Au
```

Results
Crystal system   tetragonal
Space-group type   P4/mmm (123)
E above lowest polymorph   0.82 eV per formula unit
Formation enthalpy at 0 K   10.6 kcal/mol of atoms

---

Compound: NbHgIO6
Source: Alexandria
Functional: PBE
Structure: relaxed

```
NbHgIO6
1.0
5.5088 0.0000 0.0000
-2.7544 4.7708 0.0000
0.0000 0.0000 9.8691
Nb Hg I O
2 2 2 12
Direct
0.3333 0.6667 0.2500 Nb
0.6667 0.3333 0.7500 Nb
0.0000 0.0000 0.0000 Hg
0.0000 0.0000 0.5000 Hg
0.3333 0.6667 0.7500 I
0.6667 0.3333 0.2500 I
0.0096 0.3723 0.1387 O
0.0096 0.6373 0.3613 O
0.3627 0.3723 0.3613 O
0.3627 0.9904 0.1387 O
0.3723 0.0096 0.6387 O
0.3723 0.3627 0.8613 O
0.6277 0.6373 0.1387 O
0.6277 0.9904 0.3613 O
0.6373 0.0096 0.8613 O
0.6373 0.6277 0.6387 O
0.9904 0.3627 0.6387 O
0.9904 0.6277 0.8613 O
```

Results
Formation energy without anion corrections   -1.046 eV per atom
Crystal system   trigonal
Space-group type   P-31c (163)

---

Compound: TbDy5Tm6
Source: Alexandria
Functional: PBE
Structure: relaxed

```
TbDy5Tm6
1.0
-2.4795 4.9532 7.4551
2.4795 -4.9532 7.4551
2.4795 4.9532 -7.4551
Tb Dy Tm
1 5 6
Direct
0.0000 0.0000 0.0000 Tb
0.1668 0.6668 0.5000 Dy
0.3333 0.3333 0.0000 Dy
0.5000 0.0000 0.5000 Dy
0.6667 0.6667 0.0000 Dy
0.8332 0.3332 0.5000 Dy
0.0834 0.8333 0.2501 Tm
0.2503 0.5000 0.7503 Tm
0.4168 0.1667 0.2501 Tm
0.5832 0.8333 0.7499 Tm
0.7497 0.5000 0.2497 Tm
0.9166 0.1667 0.7499 Tm
```

Results
Crystal system   orthorhombic
Space-group type   Immm (71)
Formation enthalpy at 0 K   0.5 kcal/mol of atoms

---

Compound: Na2SrTl
Source: Alexandria
Functional: PBE
Structure: relaxed

```
Na2SrTl
1.0
8.0400 0.0000 0.0000
0.0000 8.0400 0.0000
0.0000 0.0000 8.0400
Na Sr Tl
8 4 4
Direct
0.2500 0.2500 0.2500 Na
0.2500 0.2500 0.7500 Na
0.2500 0.7500 0.2500 Na
0.2500 0.7500 0.7500 Na
0.7500 0.2500 0.2500 Na
0.7500 0.2500 0.7500 Na
0.7500 0.7500 0.2500 Na
0.7500 0.7500 0.7500 Na
0.0000 0.0000 0.0000 Sr
0.0000 0.5000 0.5000 Sr
0.5000 0.0000 0.5000 Sr
0.5000 0.5000 0.0000 Sr
0.0000 0.0000 0.5000 Tl
0.0000 0.5000 0.0000 Tl
0.5000 0.0000 0.0000 Tl
0.5000 0.5000 0.5000 Tl
```

Results
Crystal system   cubic
Space-group type   Fm-3m (225)
E above lowest polymorph   0.16 eV per formula unit
Formation enthalpy at 0 K   -1.6 kcal/mol of atoms

---

Compound: AlRe2Ni
Source: Alexandria
Functional: PBE
Structure: relaxed

```
AlRe2Ni
1.0
2.6653 0.0000 0.0000
0.0000 2.6653 0.0000
0.0000 0.0000 7.7723
Al Re Ni
1 2 1
Direct
0.0000 0.0000 0.0000 Al
0.5000 0.5000 0.2617 Re
0.5000 0.5000 0.7383 Re
0.0000 0.0000 0.5000 Ni
```

Results
Crystal system   tetragonal
Space-group type   P4/mmm (123)
Formation enthalpy at 0 K   1.0 kcal/mol of atoms

---

| no. | raw total energy (Ha/atom) | calculated density (g cm⁻³) |
| --- | --- | --- |
| 1 | -0.2369 | 6.6 |
| 2 | -0.1253 | 4.6 |
| 3 | -0.2560 | 5.6 |
| 4 | -0.0635 | 6.2 |
| 5 | -0.2086 | 6.6 |
| 6 | -0.1660 | 9.0 |
| 7 | -0.0639 | 4.3 |
| 8 | -0.3146 | 13.8 |